DFT (meta-GGA SCAN) results for a PBEsol-optimized structure of Cd3Au.

Summary:
ρ	11.6	g/cm³
energy of formation	-125	meV per atom
total energy	-40.225	eV/atom
symmetry	Imm2 (44)

a = 3.160 Å, b = 5.117 Å, c = 5.605 Å
α = 117.16°, β = 106.37°, γ = 90.00°
Fractional coordinates of all 4 atoms:
Cd  0.742  0.403  0.483
Au  0.000  0.996  0.000
Cd  0.500  0.515  0.000
Cd  0.258  0.920  0.517

=====

DFT (meta-GGA SCAN) results for a PBEsol-optimized structure of IrRu2Cl.

Summary:
ρ	13.0	g/cm³
total energy	-36.785	eV/atom
raw formation energy	0.40	eV/atom
symmetry	R-3m (166)

a = 2.771 Å, b = 2.771 Å, c = 8.402 Å
α = 80.51°, β = 80.51°, γ = 60.00°
Fractional coordinates of all 4 atoms:
Ru  0.752  0.752  0.743
Ir  0.000  0.000  0.000
Ru  0.248  0.248  0.257
Cl  0.500  0.500  0.500

=====

DFT (meta-GGA SCAN) results for a PBEsol-optimized structure of CaSn2RhSe.

Summary:
ρ	5.6	g/cm³
total energy	-26.937	eV/atom
raw formation energy	0.13	eV/atom
symmetry	P4/mmm (123)

a = 4.504 Å, b = 5.495 Å, c = 5.495 Å
α = 90.00°, β = 90.00°, γ = 90.00°
Fractional coordinates of all 5 atoms:
Sn  0.000  0.500  0.000
Sn  0.000  0.000  0.500
Ca  0.500  0.500  0.500
Se  0.000  0.000  0.000
Rh  0.500  0.000  0.000

=====

DFT (meta-GGA SCAN) results for a PBEsol-optimized structure of Li3CdGe.

Summary:
ρ	3.1	g/cm³
energy of formation	301	meV per atom
total energy	-11.033	eV/atom
symmetry	Pm-3m (221)

a = 4.787 Å, b = 4.787 Å, c = 4.787 Å
α = 90.00°, β = 90.00°, γ = 90.00°
Fractional coordinates of all 5 atoms:
Cd  0.000  0.000  0.000
Ge  0.500  0.500  0.500
Li  0.500  0.000  0.000
Li  0.000  0.000  0.500
Li  0.000  0.500  0.000

=====

DFT (meta-GGA SCAN) results for a PBEsol-optimized structure of Sb2TeSe2.

Summary:
ρ	6.3	g/cm³
total energy	-30.584	eV/atom
raw formation energy	-0.20	eV/atom
symmetry	R3m (160)

a = 4.102 Å, b = 4.102 Å, c = 9.848 Å
α = 77.98°, β = 77.98°, γ = 60.00°
Fractional coordinates of all 5 atoms:
Sb  0.392  0.392  0.823
Te  0.204  0.204  0.388
Se  0.779  0.779  0.664
Se  0.997  0.997  0.010
Sb  0.599  0.599  0.202

=====

DFT (meta-GGA SCAN) results for a PBEsol-optimized structure of Sb3Mo.

Summary:
ρ	7.8	g/cm³
total energy	-36.094	eV/atom
raw formation energy	0.57	eV/atom
symmetry	Cmcm (63)

a = 4.955 Å, b = 5.755 Å, c = 7.464 Å
α = 112.68°, β = 90.00°, γ = 90.00°
Fractional coordinates of all 8 atoms:
Sb  0.750  0.061  0.122
Sb  0.250  0.432  0.371
Mo  0.750  0.483  0.965
Sb  0.250  0.940  0.371
Mo  0.250  0.517  0.035
Sb  0.750  0.060  0.629
Sb  0.750  0.568  0.629
Sb  0.250  0.939  0.878